Compound: TlSb2Br2
Source: Alexandria via LeMat-Bulk
Functional: PBE
Structure: optimized geometry

Results
Magnetic moment: 0.00 μB per formula unit
SG: P4/mbm
Formation energy from raw total energies: -189.0 meV per atom
E above lowest polymorph: 6 meV per atom

Cell lengths 8.1821, 8.1821, 5.5941 Å; angles 90.00, 90.00, 90.00 degrees
Closest atoms and distances in Å follow each position.
Element x y z (fractional)
Tl  0.0000  0.0000  0.0000  4 Sb 3.25
Tl  0.5000  0.5000  0.0000  4 Sb 3.25
Sb  0.1226  0.3774  0.0000  1 Sb 2.84, 2 Br 2.85
Sb  0.3774  0.8774  0.0000  1 Sb 2.84, 2 Br 2.85
Sb  0.6226  0.1226  0.0000  1 Sb 2.84, 2 Br 2.85
Sb  0.8774  0.6226  0.0000  1 Sb 2.84, 2 Br 2.85
Br  0.1693  0.3307  0.5000  2 Sb 2.85
Br  0.3307  0.8307  0.5000  2 Sb 2.85
Br  0.6693  0.1693  0.5000  2 Sb 2.85
Br  0.8307  0.6693  0.5000  2 Sb 2.85